Computed, not measured: a relaxed structure of DyNi12B6 at the PBE-GGA level of DFT.

Summary:
As for the calculated density: 8.0 Mg/m³. The calculation puts the total energy at -6.396 eV/atom. The calculation puts the formation energy at -38.02 kJ/mol of atoms. The calculation puts the total magnetic moment at 0.000 μB/cell. Its crystal system is orthorhombic.

Cell: 9.561 7.362 10.976 Å, 90.00 90.00 90.00°
Space group Cmc2_1 (No. 36)
Inequivalent atoms, fractional coordinates:
Dy 0.000 0.167 0.000 x4
Ni 0.000 0.217 0.603 x4
Ni 0.000 0.433 0.422 x4
Ni 0.131 0.013 0.759 x8
Ni 0.131 0.325 0.237 x8
Ni 0.131 0.343 0.780 x8
Ni 0.183 0.185 0.441 x8
Ni 0.194 0.464 0.572 x8
B 0.000 0.164 0.343 x4
B 0.000 0.487 0.659 x4
B 0.207 0.194 0.626 x8
B 0.216 0.457 0.389 x8


Computed, not measured: a relaxed structure of DyNi6B2 at the PBE-GGA level of DFT.

Summary:
As for the calculated density: 7.6 Mg/m³. The calculation puts the total energy at -6.013 eV/atom. The calculation puts the formation energy at -15.77 kJ/mol of atoms. The calculation puts the total magnetic moment at 0.000 μB/cell. Its crystal system is cubic.

Cell: 9.793 9.793 9.793 Å, 90.00 90.00 90.00°
Space group Fd-3m (No. 227, origin choice 2)
Inequivalent atoms, fractional coordinates:
Dy 0.125 0.125 0.125 x8
Ni 0.084 0.375 0.875 x48
B 0.000 0.000 0.500 x16


Computed, not measured: a relaxed structure of DyNi5B2 at the PBE-GGA level of DFT.

Summary:
As for the calculated density: 8.8 Mg/m³. The calculation puts the total energy at -6.299 eV/atom. The calculation puts the formation energy at -42.52 kJ/mol of atoms. The calculation puts the total magnetic moment at 0.000 μB/cell. Its crystal system is orthorhombic.

Cell: 3.480 6.148 8.420 Å, 90.00 90.00 90.00°
Space group Immm (No. 71)
Inequivalent atoms, fractional coordinates:
Dy 0.000 0.000 0.000 x2
Ni 0.000 0.192 0.341 x8
Ni 0.000 0.500 0.000 x2
B 0.000 0.500 0.238 x4


Computed, not measured: a relaxed structure of DyNiB4 at the PBE-GGA level of DFT.

Summary:
As for the calculated density: 7.3 Mg/m³. The calculation puts the total energy at -6.763 eV/atom. The calculation puts the energy relative to the lowest polymorph listed for this composition at 0.0 kJ/mol of atoms. The calculation puts the formation energy at -56.04 kJ/mol of atoms. The calculation puts the total magnetic moment at 0.000 μB/cell. Its crystal system is tetragonal.

Cell: 7.539 7.539 8.511 Å, 90.00 90.00 90.00°
Space group I4/mmm (No. 139)
Inequivalent atoms, fractional coordinates:
Dy 0.000 0.000 0.203 x4
Dy 0.000 0.500 0.250 x4
Ni 0.000 0.229 0.500 x8
B 0.111 0.275 0.000 x16
B 0.234 0.234 0.347 x16


Computed, not measured: a relaxed structure of DyNi2B2 at the PBE-GGA level of DFT.

Summary:
As for the calculated density: 8.3 Mg/m³. The calculation puts the total energy at -6.346 eV/atom. The calculation puts the formation energy at -42.67 kJ/mol of atoms. The calculation puts the total magnetic moment at 0.000 μB/cell. Its crystal system is monoclinic.

Cell: 9.699 3.246 3.927 Å, 90.00 103.49 90.00°
Space group C2/m (No. 12)
Inequivalent atoms, fractional coordinates:
Dy 0.000 0.000 0.000 x2
Ni 0.169 0.500 0.594 x4
B 0.234 0.500 0.122 x4


Computed, not measured: a relaxed structure of DyNiB at the PBE-GGA level of DFT.

Summary:
As for the calculated density: 8.7 Mg/m³. The calculation puts the total energy at -6.055 eV/atom. The calculation puts the energy relative to the lowest polymorph listed for this composition at 0.0 kJ/mol of atoms. The calculation puts the formation energy at -35.51 kJ/mol of atoms. The calculation puts the total magnetic moment at 0.000 μB/cell. Its crystal system is hexagonal.

Cell: 3.6653 3.6653 3.8077 Å, 90.00 90.00 120.00°
Space group P-6m2 (No. 187)
Inequivalent atoms, fractional coordinates:
Dy 0.0000 0.0000 0.0000 x1
Ni 0.3333 0.6667 0.5000 x1
B 0.6667 0.3333 0.5000 x1


Computed, not measured: a relaxed structure of DyNi4B4 at the PBE-GGA level of DFT.

Summary:
As for the calculated density: 7.7 Mg/m³. The calculation puts the total energy at -6.464 eV/atom. The calculation puts the energy relative to the lowest polymorph listed for this composition at 2.2 kJ/mol of atoms. The calculation puts the formation energy at -40.07 kJ/mol of atoms. The calculation puts the total magnetic moment at 0.000 μB/cell. Its crystal system is tetragonal.

Cell: 7.084 7.084 3.786 Å, 90.00 90.00 90.00°
Space group P4_2/n (No. 86, origin choice 2)
Inequivalent atoms, fractional coordinates:
Dy 0.250 0.250 0.250 x2
Ni 0.105 0.642 0.144 x8
B 0.045 0.918 0.146 x8


Computed, not measured: a relaxed structure of DyNi5B3 at the PBE-GGA level of DFT.

Summary:
As for the calculated density: 8.3 Mg/m³. The calculation puts the total energy at -6.312 eV/atom. The calculation puts the formation energy at -35.05 kJ/mol of atoms. The calculation puts the total magnetic moment at 0.000 μB/cell. Its crystal system is orthorhombic.

Cell: 3.439 10.675 10.706 Å, 90.00 90.00 90.00°
Space group Cmcm (No. 63)
Inequivalent atoms, fractional coordinates:
Dy 0.000 0.153 0.250 x4
Ni 0.000 0.000 0.000 x4
Ni 0.000 0.207 0.570 x8
Ni 0.000 0.440 0.143 x8
B 0.000 0.116 0.750 x4
B 0.000 0.390 0.539 x8


Computed, not measured: a relaxed structure of Dy3NiB7 at the PBE-GGA level of DFT.

Summary:
As for the calculated density: 8.2 Mg/m³. The calculation puts the total energy at -6.544 eV/atom. The calculation puts the formation energy at -49.63 kJ/mol of atoms. The calculation puts the total magnetic moment at 0.000 μB/cell. Its crystal system is orthorhombic.

Cell: 3.430 15.748 9.356 Å, 90.00 90.00 90.00°
Space group Cmcm (No. 63)
Inequivalent atoms, fractional coordinates:
Dy 0.000 0.106 0.062 x8
Dy 0.000 0.243 0.750 x4
Ni 0.000 0.055 0.750 x4
B 0.000 0.273 0.032 x8
B 0.000 0.370 0.151 x8
B 0.000 0.463 0.750 x4
B 0.000 0.479 0.093 x8


Computed, not measured: a relaxed structure of DyNi22B6 at the PBE-GGA level of DFT.

Summary:
As for the calculated density: 8.5 Mg/m³. The calculation puts the total energy at -6.126 eV/atom. The calculation puts the formation energy at -19.25 kJ/mol of atoms. The calculation puts the total magnetic moment at 3.712 μB/cell. Its crystal system is cubic.

Cell: 10.578 10.578 10.578 Å, 90.00 90.00 90.00°
Space group Fm-3m (No. 225)
Inequivalent atoms, fractional coordinates:
Dy 0.000 0.000 0.000 x4
Ni 0.000 0.173 0.173 x48
Ni 0.117 0.117 0.383 x32
Ni 0.250 0.250 0.250 x8
B 0.000 0.000 0.272 x24


Computed, not measured: a relaxed structure of Dy2Ni3B6 at the PBE-GGA level of DFT.

Summary:
As for the calculated density: 8.1 Mg/m³. The calculation puts the total energy at -6.623 eV/atom. The calculation puts the formation energy at -54.70 kJ/mol of atoms. The calculation puts the total magnetic moment at 0.000 μB/cell. Its crystal system is orthorhombic.

Cell: 7.730 8.650 3.482 Å, 90.00 90.00 90.00°
Space group Cmmm (No. 65)
Inequivalent atoms, fractional coordinates:
Dy 0.000 0.225 0.000 x4
Ni 0.000 0.500 0.500 x2
Ni 0.228 0.500 0.000 x4
B 0.113 0.000 0.500 x4
B 0.236 0.350 0.500 x8


Computed, not measured: a relaxed structure of Dy3Ni13B2 at the PBE-GGA level of DFT.

Summary:
As for the calculated density: 9.1 Mg/m³. The calculation puts the total energy at -6.117 eV/atom. The calculation puts the formation energy at -41.76 kJ/mol of atoms. The calculation puts the total magnetic moment at 2.038 μB/cell. Its crystal system is hexagonal.

Cell: 4.9451 4.9451 10.9098 Å, 90.00 90.00 120.00°
Space group P6/mmm (No. 191)
Inequivalent atoms, fractional coordinates:
Dy 0.0000 0.0000 0.0000 x1
Dy 0.0000 0.0000 0.3291 x2
Ni 0.0000 0.5000 0.1332 x6
Ni 0.0000 0.5000 0.5000 x3
Ni 0.3333 0.6667 0.3192 x4
B 0.3333 0.6667 0.0000 x2